Sm2CoSi: relaxed, GGA-PBE.

The magnetization comes out at 0.0 Bohr magnetons per cell. The density of states at the Fermi level is 15.438 states/eV/cell. The raw formation energy comes out at -44 kJ/mol of atoms. As for the excess energy over the best structure of this formula in the dataset: 0.0 meV per atom.

The space group is R3m (No. 160, hexagonal axes) and the conventional cell measures 4.0264, 4.0264 and 21.5898 Å, with angles of 90.00, 90.00 and 120.00 degrees. The inequivalent atoms are Sm at (0.0000, 0.0000, 0.0000), Sm at (0.0000, 0.0000, 0.1707), Co at (0.0000, 0.0000, 0.4177) and Si at (0.0000, 0.0000, 0.7533).

BaGaFe2: relaxed, GGA-PBE.

The magnetization comes out at 17.0 Bohr magnetons per cell. The density of states at the Fermi level is 15.072 states/eV/cell. The formation energy is 0.41 eV/atom.

The space group is I4_1/amd (No. 141, origin choice 2) and the conventional cell measures 4.653, 4.653 and 17.134 Å, with angles of 90.00, 90.00 and 90.00 degrees. The inequivalent atoms are Ba at (0.000, 0.250, 0.375), Ga at (0.000, 0.250, 0.875) and Fe at (0.000, 0.000, 0.000).

NiHg3Sb: relaxed, GGA-PBE.

The magnetization comes out at 1.1 Bohr magnetons per cell. The density of states at the Fermi level is 15.482 states/eV/cell. The raw formation energy comes out at 86 kJ/mol of atoms. As for the excess energy over the best structure of this formula in the dataset: 544.4 meV per atom.

The space group is Pm-3m (No. 221) and the conventional cell measures 5.663, 5.663 and 5.663 Å, with angles of 90.00, 90.00 and 90.00 degrees. The inequivalent atoms are Ni at (0.000, 0.000, 0.000), Hg at (0.000, 0.500, 0.500) and Sb at (0.500, 0.500, 0.500).